Density functional theory data (GGA+U) for crystalline ScIn2FeO6 at its relaxed geometry.

```
10
Lattice="-4.178 -0.026 3.436 -1.894 -4.689 1.919 1.027 -1.285 5.497" Properties=species:S:1:pos:R:3 pbc="T T T"
Fe -1.848 -1.555 1.999
O -2.334 -1.504 6.789
O -0.491 -3.013 5.390
O -2.380 -4.763 3.913
O -2.348 -4.257 7.013
O -4.817 -3.150 5.791
O -2.618 -1.298 3.841
In -2.772 -3.023 5.122
In 0.797 -1.306 5.218
Sc -4.344 -4.552 7.458
```

Calculated values
D(E_F): 0.0 states/eV per cell
Electronic total energy: -6.720 eV/atom